No. 1
# CaTi3Mn

A relaxed structure of CaTi3Mn (GGA-PBE, Alexandria).

Cell: 4.663 4.663 4.663 Å, 90.00 90.00 90.00°
Atoms (fractional coordinates):
1 Ca 0.000 0.000 0.000
2 Ti 0.000 0.500 0.500
3 Ti 0.500 0.000 0.500
4 Ti 0.500 0.500 0.000
5 Mn 0.500 0.500 0.500

Summary:
**DFT formation energy**: 309 meV per atom
**Uncorrected energy**: -0.490 Ry per atom
**Space group**: No. 221

No. 2
# CaTi2Mn2

A relaxed structure of CaTi2Mn2 (GGA-PBE, Alexandria).

Cell: 7.633 7.633 3.036 Å, 90.00 90.00 90.00°
Atoms (fractional coordinates):
1 Ca 0.000 0.000 0.000
2 Ca 0.500 0.500 0.000
3 Ti 0.139 0.361 0.500
4 Ti 0.361 0.861 0.500
5 Ti 0.639 0.139 0.500
6 Ti 0.861 0.639 0.500
7 Mn 0.135 0.635 0.000
8 Mn 0.365 0.135 0.000
9 Mn 0.635 0.865 0.000
10 Mn 0.865 0.365 0.000

Summary:
**DFT formation energy**: 180 meV per atom
**Uncorrected energy**: -0.518 Ry per atom
**Space group**: No. 127

No. 3
# CaZr2TiMn

A relaxed structure of CaZr2TiMn (GGA-PBE, Alexandria).

Cell: 5.069 5.069 4.151 Å, 90.00 90.00 90.00°
Atoms (fractional coordinates):
1 Ca 0.000 0.000 0.000
2 Zr 0.000 0.500 0.000
3 Zr 0.500 0.000 0.000
4 Ti 0.500 0.500 0.500
5 Mn 0.000 0.000 0.500

Summary:
**DFT formation energy**: 1777 meV per atom
**Uncorrected energy**: -0.401 Ry per atom
**Space group**: No. 123

No. 4
# CaMn2Tl

A relaxed structure of CaMn2Tl (GGA-PBE, Alexandria).

Cell: 4.704 4.704 5.600 Å, 114.94 114.94 60.04°
Atoms (fractional coordinates):
1 Ca 0.000 0.000 0.000
2 Mn 0.208 0.208 0.623
3 Mn 0.792 0.792 0.377
4 Tl 0.500 0.500 0.500

Summary:
**DFT formation energy**: 417 meV per atom
**Uncorrected energy**: -0.387 Ry per atom
**Space group**: No. 12

No. 5
# CaMnTl2

A relaxed structure of CaMnTl2 (GGA-PBE, Alexandria).

Cell: 3.549 5.103 5.852 Å, 90.00 90.43 90.00°
Atoms (fractional coordinates):
1 Ca 0.000 0.000 0.000
2 Mn 0.508 0.500 0.267
3 Tl 0.494 0.500 0.784
4 Tl 0.501 0.000 0.477

Summary:
**DFT formation energy**: 159 meV per atom
**Uncorrected energy**: -0.281 Ry per atom
**Space group**: No. 6

No. 6
# CaMn2Tl

A relaxed structure of CaMn2Tl (GGA-PBE, Alexandria).

Cell: 4.461 4.461 4.365 Å, 90.00 90.00 90.00°
Atoms (fractional coordinates):
1 Ca 0.000 0.000 0.000
2 Mn 0.000 0.500 0.500
3 Mn 0.500 0.000 0.500
4 Tl 0.500 0.500 0.000

Summary:
**DFT formation energy**: 402 meV per atom
**Uncorrected energy**: -0.388 Ry per atom
**Space group**: No. 123